Record 1
Below is Dy2Y after structural relaxation, with properties calculated at the PBE level.

a b c (Å): 5.8978 5.9072 11.0220
angles (deg): 90.00 90.00 90.00
Closest atoms and distances in Å follow each position.
Space group Fmmm (No. 69)
Unique sites:
Dy  0.0000  0.0000  0.1669 (multiplicity 8)  5 Dy 3.47-3.68, 5 Y 3.48-3.67
Y  0.0000  0.0000  0.5000 (multiplicity 4)  10 Dy 3.48-3.67


Record 2
Below is LiCaPb after structural relaxation, with properties calculated at the PBE level.

a b c (Å): 4.6836 5.0253 6.8391
angles (deg): 90.00 109.78 90.00
Closest atoms and distances in Å follow each position.
Space group P2_1/m (No. 11)
Unique sites:
Li  0.2405  0.2500  0.4808 (multiplicity 2)  4 Pb 2.84-3.12, 2 Ca 3.16
Ca  0.0937  0.7500  0.1839 (multiplicity 2)  4 Li 3.16-3.18, 4 Pb 3.45, 2 Ca 3.45
Pb  0.3823  0.7500  0.7683 (multiplicity 2)  4 Li 2.84-3.12


Record 3
Below is CaAc2PaP4 after structural relaxation, with properties calculated at the PBE level.

a b c (Å): 7.2925 4.2515 7.3567
angles (deg): 90.00 109.32 90.00
Closest atoms and distances in Å follow each position.
Space group P2/m (No. 10)
Unique sites:
Ca  0.0000  0.0000  0.0000 (multiplicity 1)  6 P 2.94-2.96
Ac  0.0000  0.5000  0.5000 (multiplicity 1)  6 P 3.16-3.19
Ac  0.5000  0.0000  0.5000 (multiplicity 1)  6 P 3.05-3.06
Pa  0.5000  0.5000  0.0000 (multiplicity 1)  6 P 2.78-2.85
P  0.2594  0.5000  0.2254 (multiplicity 2)  1 Pa 2.78, 2 Ca 2.96, 2 Ac 3.06
P  0.2705  0.0000  0.7798 (multiplicity 2)  2 Pa 2.85, 1 Ca 2.94, 3 Ac 3.05-3.16


Record 4
Below is BaSc2Ni after structural relaxation, with properties calculated at the PBE level.

a b c (Å): 4.8868 4.8868 8.2897
angles (deg): 90.00 90.00 90.00
Closest atoms and distances in Å follow each position.
Space group I-4m2 (No. 119)
Unique sites:
Ba  0.0000  0.0000  0.0000 (multiplicity 2)  4 Ni 3.20, 8 Sc 3.20-3.46
Sc  0.0000  0.0000  0.5000 (multiplicity 2)  4 Ni 3.20, 4 Sc 3.20, 4 Ba 3.46
Sc  0.0000  0.5000  0.2500 (multiplicity 2)  4 Ba 3.20, 4 Sc 3.20, 4 Ni 3.46
Ni  0.0000  0.5000  0.7500 (multiplicity 2)  4 Ba 3.20, 8 Sc 3.20-3.46


Ordered total energy results: -61.162; -17.594; -51.945; -36.842; unit eV for the cell shown.